# 1
# Er5Ag4Ru | Alexandria via LeMat-Bulk | PBE-GGA | relaxed
# Volume   225 Å³ per cell
# Formation energy from the elements   -369 meV/atom
# Density of states at the Fermi level   0.575 states/eV per atom
# DFT total energy   -4.72 eV/atom
data_Er5Ag4Ru
_symmetry_space_group_name_H-M 'P 4/m m m'
_symmetry_Int_Tables_number 123
_symmetry_space_group_name_Hall '-P 4 2'
_cell_length_a 3.508
_cell_length_b 3.508
_cell_length_c 18.256
_cell_angle_alpha 90.00
_cell_angle_beta 90.00
_cell_angle_gamma 90.00
loop_
_atom_site_label
_atom_site_type_symbol
_atom_site_fract_x
_atom_site_fract_y
_atom_site_fract_z
Er1 Er 0.000 0.000 0.000
Er2 Er 0.000 0.000 0.204
Er3 Er 0.000 0.000 0.411
Ag1 Ag 0.500 0.500 0.101
Ag2 Ag 0.500 0.500 0.305
Ru1 Ru 0.500 0.500 0.500


# 2
# Er8AgRu2 | Alexandria via LeMat-Bulk | PBE-GGA | relaxed
# Volume   581 Å³ per cell
# Formation energy from the elements   -216 meV/atom
# Density of states at the Fermi level   0.892 states/eV per atom
# DFT total energy   -5.48 eV/atom
# Excess energy over the best structure of this formula in the dataset   36.3 meV/atom
data_Er8AgRu2
_symmetry_space_group_name_H-M 'C 1 m 1'
_symmetry_Int_Tables_number 8
_cell_length_a 8.585
_cell_length_b 12.657
_cell_length_c 5.536
_cell_angle_alpha 90.00
_cell_angle_beta 104.96
_cell_angle_gamma 90.00
loop_
_symmetry_equiv_pos_as_xyz
'x,y,z'
'x,-y,z'
'x+1/2,y+1/2,z'
'x+1/2,-y+1/2,z'
loop_
_atom_site_label
_atom_site_type_symbol
_atom_site_fract_x
_atom_site_fract_y
_atom_site_fract_z
Er1 Er 0.000 0.000 0.000
Er2 Er 0.079 0.368 0.785
Er3 Er 0.180 0.131 0.607
Er4 Er 0.258 0.500 0.391
Er5 Er 0.380 0.241 0.196
Ag1 Ag 0.379 0.000 0.200
Ru1 Ru 0.380 0.312 0.696


# 3
# Er3AgRu | Alexandria via LeMat-Bulk | PBE-GGA | relaxed
# Volume   961 Å³ per cell
# Formation energy from the elements   -360 meV/atom
# Density of states at the Fermi level   0.758 states/eV per atom
# DFT total energy   -5.52 eV/atom
# Excess energy over the best structure of this formula in the dataset   0.0 meV/atom
data_Er3AgRu
_symmetry_space_group_name_H-M 'F m m m'
_symmetry_Int_Tables_number 69
_symmetry_space_group_name_Hall '-F 2 2'
_cell_length_a 6.362
_cell_length_b 9.774
_cell_length_c 15.449
_cell_angle_alpha 90.00
_cell_angle_beta 90.00
_cell_angle_gamma 90.00
loop_
_atom_site_label
_atom_site_type_symbol
_atom_site_fract_x
_atom_site_fract_y
_atom_site_fract_z
Er1 Er 0.000 0.000 0.193
Er2 Er 0.000 0.183 0.390
Ag1 Ag 0.212 0.000 0.000
Ru1 Ru 0.250 0.250 0.250


# 4
# Er3AgRu | Alexandria via LeMat-Bulk | PBE-GGA | relaxed
# Volume   513 Å³ per cell
# Formation energy from the elements   -246 meV/atom
# Density of states at the Fermi level   0.840 states/eV per atom
# DFT total energy   -5.41 eV/atom
# Excess energy over the best structure of this formula in the dataset   114.7 meV/atom
data_Er3AgRu
_symmetry_space_group_name_H-M 'P 1 21/c 1'
_symmetry_Int_Tables_number 14
_cell_length_a 9.767
_cell_length_b 5.885
_cell_length_c 9.988
_cell_angle_alpha 90.00
_cell_angle_beta 116.64
_cell_angle_gamma 90.00
loop_
_symmetry_equiv_pos_as_xyz
'x,y,z'
'-x,-y,-z'
'-x,y+1/2,-z+1/2'
'x,-y+1/2,z+1/2'
loop_
_atom_site_label
_atom_site_type_symbol
_atom_site_fract_x
_atom_site_fract_y
_atom_site_fract_z
Er1 Er 0.102 0.129 0.224
Er2 Er 0.317 0.623 0.441
Er3 Er 0.388 0.102 0.651
Ag1 Ag 0.099 0.667 0.095
Ru1 Ru 0.401 0.173 0.392


# 5
# Er8Ag2Ru | Alexandria via LeMat-Bulk | PBE-GGA | relaxed
# Volume   574 Å³ per cell
# Formation energy from the elements   -214 meV/atom
# Density of states at the Fermi level   0.826 states/eV per atom
# DFT total energy   -4.89 eV/atom
# Excess energy over the best structure of this formula in the dataset   0.0 meV/atom
data_Er8Ag2Ru
_symmetry_space_group_name_H-M 'C 1 2/m 1'
_symmetry_Int_Tables_number 12
_cell_length_a 17.179
_cell_length_b 5.179
_cell_length_c 6.790
_cell_angle_alpha 90.00
_cell_angle_beta 108.30
_cell_angle_gamma 90.00
loop_
_symmetry_equiv_pos_as_xyz
'x,y,z'
'-x,-y,-z'
'-x,y,-z'
'x,-y,z'
'x+1/2,y+1/2,z'
'-x+1/2,-y+1/2,-z'
'-x+1/2,y+1/2,-z'
'x+1/2,-y+1/2,z'
loop_
_atom_site_label
_atom_site_type_symbol
_atom_site_fract_x
_atom_site_fract_y
_atom_site_fract_z
Er1 Er 0.027 0.000 0.293
Er2 Er 0.091 0.500 0.930
Er3 Er 0.160 0.500 0.466
Er4 Er 0.198 0.000 0.802
Ag1 Ag 0.183 0.000 0.210
Ru1 Ru 0.000 0.500 0.500


# 6
# Er8Ag2Ru | Alexandria via LeMat-Bulk | PBE-GGA | relaxed
# Volume   596 Å³ per cell
# Formation energy from the elements   -144 meV/atom
# Density of states at the Fermi level   1.054 states/eV per atom
# DFT total energy   -4.82 eV/atom
# Excess energy over the best structure of this formula in the dataset   70.0 meV/atom
data_Er8Ag2Ru
_symmetry_space_group_name_H-M 'C 1 m 1'
_symmetry_Int_Tables_number 8
_cell_length_a 7.489
_cell_length_b 15.793
_cell_length_c 5.951
_cell_angle_alpha 90.00
_cell_angle_beta 122.09
_cell_angle_gamma 90.00
loop_
_symmetry_equiv_pos_as_xyz
'x,y,z'
'x,-y,z'
'x+1/2,y+1/2,z'
'x+1/2,-y+1/2,z'
loop_
_atom_site_label
_atom_site_type_symbol
_atom_site_fract_x
_atom_site_fract_y
_atom_site_fract_z
Er1 Er 0.000 0.000 0.000
Er2 Er 0.003 0.114 0.482
Er3 Er 0.227 0.307 0.781
Er4 Er 0.456 0.000 0.634
Er5 Er 0.460 0.116 0.115
Ag1 Ag 0.222 0.217 0.280
Ru1 Ru 0.226 0.500 0.479


# 7
# Er12AgRu6 | Alexandria via LeMat-Bulk | PBE-GGA | relaxed
# Volume   1498 Å³ per cell
# Formation energy from the elements   -178 meV/atom
# Density of states at the Fermi level   0.627 states/eV per atom
# DFT total energy   -6.14 eV/atom
data_Er12AgRu6
_symmetry_space_group_name_H-M 'R -3'
_symmetry_Int_Tables_number 148
_symmetry_space_group_name_Hall '-R 3'
_cell_length_a 12.5632
_cell_length_b 12.5632
_cell_length_c 10.9570
_cell_angle_alpha 90.00
_cell_angle_beta 90.00
_cell_angle_gamma 120.00
loop_
_atom_site_label
_atom_site_type_symbol
_atom_site_fract_x
_atom_site_fract_y
_atom_site_fract_z
Er1 Er 0.0337 0.8265 0.3832
Er2 Er 0.0369 0.8154 0.8860
Ag1 Ag 0.0000 0.0000 0.0000
Ru1 Ru 0.0493 0.7880 0.6466


# 8
# Er6AgRu5 | Alexandria via LeMat-Bulk | PBE-GGA | relaxed
# Volume   472 Å³ per cell
# Formation energy from the elements   -412 meV/atom
# Density of states at the Fermi level   0.608 states/eV per atom
# DFT total energy   -6.80 eV/atom
data_Er6AgRu5
_symmetry_space_group_name_H-M 'C m m m'
_symmetry_Int_Tables_number 65
_symmetry_space_group_name_Hall '-C 2 2'
_cell_length_a 4.819
_cell_length_b 14.368
_cell_length_c 6.822
_cell_angle_alpha 90.00
_cell_angle_beta 90.00
_cell_angle_gamma 90.00
loop_
_atom_site_label
_atom_site_type_symbol
_atom_site_fract_x
_atom_site_fract_y
_atom_site_fract_z
Er1 Er 0.000 0.000 0.239
Er2 Er 0.000 0.329 0.246
Ag1 Ag 0.000 0.500 0.500
Ru1 Ru 0.000 0.165 0.500
Ru2 Ru 0.000 0.166 0.000
Ru3 Ru 0.000 0.500 0.000


Q: The lowest volume belongs to which entry?
A: Er5Ag4Ru